Entry 1:
A plane-wave DFT calculation with GGA-PBE was carried out for a relaxed MgTa crystal.

Unit cell a=4.804 b=9.364 c=5.193 alpha=90.00 beta=90.00 gamma=90.00
Space group Pmc2_1 (No. 26)
Unique sites:
Mg1 0.000 0.081 0.000 (multiplicity 2)
Mg2 0.000 0.413 0.982 (multiplicity 2)
Mg3 0.500 0.415 0.324 (multiplicity 2)
Ta1 0.000 0.241 0.496 (multiplicity 2)
Ta2 0.500 0.089 0.343 (multiplicity 2)
Ta3 0.500 0.225 0.807 (multiplicity 2)

Summary:
**Total energy**: -6.351 eV/atom

***

Entry 2:
A plane-wave DFT calculation with GGA-PBE was carried out for a relaxed MgTa crystal.

Unit cell a=2.9297 b=2.9297 c=5.1443 alpha=90.00 beta=90.00 gamma=120.00
Space group P-6m2 (No. 187)
Unique sites:
Mg1 0.0000 0.0000 0.0000 (multiplicity 1)
Ta1 0.3333 0.6667 0.5000 (multiplicity 1)

Summary:
**Total energy**: -6.381 eV/atom

***

Entry 3:
A plane-wave DFT calculation with GGA-PBE was carried out for a relaxed MgTa crystal.

Unit cell a=6.0087 b=6.0087 c=4.9367 alpha=90.00 beta=90.00 gamma=120.00
Space group P-6m2 (No. 187)
Unique sites:
Mg1 0.0000 0.0000 0.0000 (multiplicity 1)
Mg2 0.1738 0.3475 0.5000 (multiplicity 3)
Ta1 0.5095 0.0190 0.0000 (multiplicity 3)
Ta2 0.6667 0.3333 0.5000 (multiplicity 1)

Summary:
**Total energy**: -6.394 eV/atom

***

Entry 4:
A plane-wave DFT calculation with GGA-PBE was carried out for a relaxed Mg2Ta crystal.

Unit cell a=9.326 b=5.407 c=4.823 alpha=90.00 beta=90.00 gamma=90.00
Space group Cmcm (No. 63)
Unique sites:
Mg1 0.166 0.151 0.250 (multiplicity 8)
Ta1 0.000 0.396 0.750 (multiplicity 4)

Summary:
**Offset from the most stable computed form**: 0.2091 eV per atom

***

no.,magnetization (μB per formula unit),volume (Å³ per cell)
1,0.028,233.6
2,0.010,38.2
3,0.001,154.4
4,0.006,243.2